Entry from the Alexandria database: MnGa2OsO8 after structural relaxation (PBE+U).

## Properties
Total moment = 5.3 Bohr magnetons per cell
Density of states at the Fermi level = 4.937 states/eV per cell
Uncorrected energy = -6.736 eV per atom
Volume = 253.04 Å³/cell

The structure in CIF format:
```
data_MnGa2OsO8
_chemical_formula_sum 'Mn2 Ga4 Os2 O16'
_cell_length_a 6.3602
_cell_length_b 6.5933
_cell_length_c 6.0341
_cell_angle_alpha 90.00
_cell_angle_beta 90.00
_cell_angle_gamma 90.00
_symmetry_space_group_name_H-M 'C m m m'
_symmetry_Int_Tables_number 65
_symmetry_space_group_name_Hall '-C 2 2'
loop_
_atom_site_label
_atom_site_type_symbol
_atom_site_fract_x
_atom_site_fract_y
_atom_site_fract_z
Mn1 Mn 0.0000 0.0000 0.0000
Ga1 Ga 0.0000 0.5000 0.2394
Os1 Os 0.0000 0.0000 0.5000
O1 O 0.0000 0.1888 0.2526
O2 O 0.2001 0.5000 0.0000
O3 O 0.2011 0.5000 0.5000
```